1.
Density functional theory data (PBEsol) for a geometry-optimized ReAs2Br structure.

Calculated values
The calculation puts the spin magnetization at 0.05 μB/cell. The relative energy among the computed polymorphs comes out at 0.000 eV/atom. The calculation puts the electronic total energy at -5.38 eV/atom. The formation energy (no corrections) is 978 meV per atom.

a b c (Å): 2.879 4.898 4.898
angles (deg): 90.00 90.00 90.00
Atoms (fractional coordinates):
As: 0.000 0.500 0.000
Re: 0.500 0.000 0.000
As: 0.000 0.000 0.500
Br: 0.500 0.500 0.500

***

2.
Density functional theory data (PBEsol) for a geometry-optimized MgSc2Co structure.

Calculated values
The calculation puts the spin magnetization at 0.00 μB/cell. The calculation puts the electronic total energy at -5.59 eV/atom. The formation energy comes out at 77 meV/atom.

a b c (Å): 4.600 4.600 4.600
angles (deg): 60.00 60.00 60.00
Atoms (fractional coordinates):
Co: 0.500 0.500 0.500
Mg: 0.250 0.250 0.250
Sc: 0.750 0.750 0.750
Sc: 0.000 0.000 0.000

***

3.
Density functional theory data (PBEsol) for a geometry-optimized CaSi2W structure.

Calculated values
The calculation puts the spin magnetization at 0.00 μB/cell. The relative energy among the computed polymorphs comes out at 0.000 eV/atom. The calculation puts the electronic total energy at -6.55 eV/atom. The formation energy (no corrections) is 308 meV per atom.

a b c (Å): 2.826 4.593 5.261
angles (deg): 90.00 90.00 90.00
Atoms (fractional coordinates):
Si: 0.000 0.000 0.000
Si: 0.500 0.500 0.500
W: 0.500 0.500 0.000
Ca: 0.000 0.000 0.500

***

4.
Density functional theory data (PBEsol) for a geometry-optimized Ba2CaMg structure.

Calculated values
The calculation puts the spin magnetization at 0.00 μB/cell. The calculation puts the electronic total energy at -2.03 eV/atom. The formation energy comes out at 7 meV/atom.

a b c (Å): 4.269 6.405 7.599
angles (deg): 115.67 106.31 90.00
Atoms (fractional coordinates):
Mg: 0.239 0.735 0.478
Ba: 0.966 0.969 0.933
Ba: 0.758 0.255 0.516
Ca: 0.537 0.540 0.074

***

5.
Density functional theory data (PBEsol) for a geometry-optimized InTc2Se structure.

Calculated values
The calculation puts the spin magnetization at 0.00 μB/cell. The relative energy among the computed polymorphs comes out at 0.114 eV/atom. The calculation puts the electronic total energy at -6.93 eV/atom. The formation energy (no corrections) is 414 meV per atom.

a b c (Å): 4.445 4.445 4.445
angles (deg): 60.00 60.00 60.00
Atoms (fractional coordinates):
In: 0.000 0.000 0.000
Se: 0.500 0.500 0.500
Tc: 0.750 0.750 0.750
Tc: 0.250 0.250 0.250

***

6.
Density functional theory data (PBEsol) for a geometry-optimized KRe2Tc structure.

Calculated values
The calculation puts the spin magnetization at 0.00 μB/cell. The relative energy among the computed polymorphs comes out at 0.166 eV/atom. The calculation puts the electronic total energy at -8.64 eV/atom. The formation energy comes out at 1122 meV/atom.

a b c (Å): 3.095 3.095 8.392
angles (deg): 90.00 90.00 90.00
Atoms (fractional coordinates):
Tc: 0.500 0.500 0.000
Re: 0.000 0.000 0.161
K: 0.500 0.500 0.500
Re: 0.000 0.000 0.839

***

7.
Density functional theory data (PBEsol) for a geometry-optimized Rb2NaScF6 structure.

Calculated values
The calculation puts the spin magnetization at 0.00 μB/cell. The calculation puts the electronic total energy at -5.50 eV/atom. The formation energy (no corrections) is -3336 meV per atom.

a b c (Å): 6.057 6.057 6.057
angles (deg): 60.00 60.00 60.00
Atoms (fractional coordinates):
Rb: 0.750 0.750 0.750
Rb: 0.250 0.250 0.250
F: 0.235 0.235 0.765
F: 0.765 0.235 0.235
F: 0.235 0.765 0.765
F: 0.765 0.235 0.765
Na: 0.500 0.500 0.500
F: 0.235 0.765 0.235
F: 0.765 0.765 0.235
Sc: 0.000 0.000 0.000

***

8.
Density functional theory data (PBEsol) for a geometry-optimized Ba2In3Au structure.

Calculated values
The calculation puts the spin magnetization at 0.00 μB/cell. The calculation puts the electronic total energy at -3.40 eV/atom. The formation energy comes out at -540 meV/atom.

a b c (Å): 5.033 6.362 6.553
angles (deg): 79.90 67.41 66.70
Atoms (fractional coordinates):
Ba: 0.055 0.196 0.694
In: 0.351 0.590 0.709
In: 0.325 0.248 0.101
Ba: 0.943 0.807 0.308
In: 0.663 0.762 0.912
Au: 0.663 0.397 0.276

***

9.
Density functional theory data (PBEsol) for a geometry-optimized MgPCl3 structure.

Calculated values
The calculation puts the spin magnetization at 2.00 μB/cell. The calculation puts the electronic total energy at -3.12 eV/atom. The formation energy (no corrections) is -411 meV per atom.

a b c (Å): 4.830 4.830 4.830
angles (deg): 90.00 90.00 90.00
Site moments in Bohr magnetons follow the coordinates.
Atoms (fractional coordinates):
Cl: 0.000 0.500 0.000  0.02
P: 0.500 0.500 0.500  0.88
Cl: 0.500 0.000 0.000  0.02
Cl: 0.000 0.000 0.500  0.02
Mg: 0.000 0.000 0.000  0.00

***

10.
Density functional theory data (PBEsol) for a geometry-optimized TiAs2OsSe structure.

Calculated values
The calculation puts the spin magnetization at 1.97 μB/cell. The calculation puts the electronic total energy at -5.81 eV/atom. The formation energy (no corrections) is 1106 meV per atom.

a b c (Å): 4.654 4.741 4.741
angles (deg): 90.00 90.00 90.00
Site moments in Bohr magnetons follow the coordinates.
Atoms (fractional coordinates):
As: 0.000 0.000 0.500  -0.07
Ti: 0.000 0.000 0.000  0.18
Se: 0.500 0.000 0.000  -0.06
Os: 0.500 0.500 0.500  1.87
As: 0.000 0.500 0.000  -0.07

***

11.
Density functional theory data (PBEsol) for a geometry-optimized RbNbCo2 structure.

Calculated values
The calculation puts the spin magnetization at 0.60 μB/cell. The calculation puts the electronic total energy at -5.39 eV/atom. The formation energy comes out at 1444 meV/atom.

a b c (Å): 4.532 4.532 4.532
angles (deg): 60.00 60.00 60.00
Site moments in Bohr magnetons follow the coordinates.
Atoms (fractional coordinates):
Rb: 0.000 0.000 0.000  -0.03
Co: 0.250 0.250 0.250  0.54
Co: 0.750 0.750 0.750  0.54
Nb: 0.500 0.500 0.500  -0.33

***

12.
Density functional theory data (PBEsol) for a geometry-optimized YGa2Co3 structure.

Calculated values
The calculation puts the spin magnetization at 1.94 μB/cell. The calculation puts the electronic total energy at -6.53 eV/atom. The formation energy comes out at -412 meV/atom.

a b c (Å): 3.780 8.830 8.830
angles (deg): 120.00 90.00 90.00
Site moments in Bohr magnetons follow the coordinates.
Atoms (fractional coordinates):
Y: 0.000 0.000 0.000  -0.04
Ga: 0.500 0.684 0.000  -0.01
Y: 0.500 0.667 0.333  -0.05
Ga: 0.500 0.000 0.684  -0.01
Co: 0.000 0.366 0.183  0.10
Co: 0.000 0.183 0.817  0.10
Ga: 0.500 0.316 0.316  -0.01
Ga: 0.500 0.684 0.684  -0.01
Ga: 0.500 0.316 0.000  -0.01
Y: 0.500 0.333 0.667  -0.05
Co: 0.000 0.000 0.500  0.55
Co: 0.000 0.817 0.183  0.10
Co: 0.000 0.817 0.634  0.10
Co: 0.000 0.634 0.817  0.10
Co: 0.000 0.500 0.500  0.55
Co: 0.000 0.183 0.366  0.10
Ga: 0.500 0.000 0.316  -0.01
Co: 0.000 0.500 0.000  0.55

***

13.
Density functional theory data (PBEsol) for a geometry-optimized Al9Co2Ni structure.

Calculated values
The calculation puts the spin magnetization at 0.00 μB/cell. The calculation puts the electronic total energy at -5.28 eV/atom. The formation energy comes out at -406 meV/atom.

a b c (Å): 7.485 10.410 10.410
angles (deg): 69.80 68.93 68.93
Atoms (fractional coordinates):
Al: 0.442 0.600 0.892
Al: 0.363 0.402 0.402
Al: 0.586 0.251 0.576
Al: 0.128 0.196 0.547
Al: 0.067 0.600 0.892
Al: 0.872 0.453 0.804
Al: 0.166 0.598 0.598
Al: 0.558 0.400 0.108
Al: 0.789 0.065 0.756
Al: 0.872 0.804 0.453
Co: 0.795 0.669 0.331
Co: 0.205 0.331 0.669
Co: 0.814 0.000 0.000
Al: 0.558 0.108 0.400
Al: 0.128 0.547 0.196
Co: 0.186 0.000 0.000
Al: 0.211 0.935 0.244
Al: 0.390 0.756 0.065
Co: 0.302 0.698 0.698
Al: 0.933 0.108 0.400
Al: 0.000 0.168 0.832
Al: 0.442 0.892 0.600
Al: 0.000 0.500 0.500
Ni: 0.288 0.400 0.023
Al: 0.000 0.832 0.168
Al: 0.253 0.247 0.247
Ni: 0.712 0.977 0.600
Co: 0.795 0.331 0.669
Al: 0.414 0.424 0.749
Ni: 0.288 0.023 0.400
Al: 0.414 0.749 0.424
Al: 0.136 0.864 0.864
Al: 0.747 0.753 0.753
Al: 0.637 0.598 0.598
Al: 0.067 0.892 0.600
Al: 0.789 0.756 0.065
Al: 0.500 0.000 0.000
Al: 0.211 0.244 0.935
Al: 0.390 0.065 0.756
Co: 0.698 0.302 0.302
Al: 0.864 0.136 0.136
Al: 0.610 0.935 0.244
Al: 0.586 0.576 0.251
Al: 0.610 0.244 0.935
Al: 0.834 0.402 0.402
Al: 0.933 0.400 0.108
Ni: 0.712 0.600 0.977
Co: 0.205 0.669 0.331

***

14.
Density functional theory data (PBEsol) for a geometry-optimized LaUO4 structure.

Calculated values
The calculation puts the spin magnetization at 1.00 μB/cell. The calculation puts the electronic total energy at -9.88 eV/atom. The formation energy (no corrections) is -3467 meV per atom.

a b c (Å): 3.876 3.876 6.626
angles (deg): 72.99 72.99 60.00
Site moments in Bohr magnetons follow the coordinates.
Atoms (fractional coordinates):
La: 0.500 0.500 0.500  0.00
O: 0.366 0.366 0.901  -0.03
O: 0.114 0.114 0.658  -0.02
U: 0.000 0.000 0.000  1.07
O: 0.886 0.886 0.342  -0.02
O: 0.634 0.634 0.099  -0.03

***

15.
Density functional theory data (PBEsol) for a geometry-optimized In5Pt11 structure.

Calculated values
The calculation puts the spin magnetization at 0.00 μB/cell. The calculation puts the electronic total energy at -6.13 eV/atom. The formation energy comes out at -407 meV/atom.

a b c (Å): 4.048 5.655 11.326
angles (deg): 91.82 90.00 90.00
Atoms (fractional coordinates):
Pt: 0.500 0.748 0.380
In: 0.500 0.756 0.626
Pt: 0.000 0.000 0.500
Pt: 0.500 0.227 0.119
Pt: 0.000 0.985 0.248
Pt: 0.500 0.773 0.881
Pt: 0.000 0.500 0.500
Pt: 0.500 0.252 0.620
In: 0.500 0.244 0.374
Pt: 0.000 0.500 0.000
In: 0.500 0.716 0.138
Pt: 0.000 0.015 0.752
In: 0.000 0.000 0.000
Pt: 0.000 0.519 0.747
In: 0.500 0.284 0.862
Pt: 0.000 0.481 0.253

***

16.
Density functional theory data (PBEsol) for a geometry-optimized TcHg2Te structure.

Calculated values
The calculation puts the spin magnetization at 0.62 μB/cell. The calculation puts the electronic total energy at -3.56 eV/atom. The formation energy (no corrections) is 421 meV per atom.

a b c (Å): 3.061 4.308 7.126
angles (deg): 107.60 102.40 90.00
Site moments in Bohr magnetons follow the coordinates.
Atoms (fractional coordinates):
Te: 0.500 0.000 0.000  0.02
Tc: 0.000 0.500 0.000  0.53
Hg: 0.692 0.692 0.384  0.01
Hg: 0.308 0.308 0.616  0.01

***

17.
Density functional theory data (PBEsol) for a geometry-optimized MgCo6Ge6 structure.

Calculated values
The calculation puts the spin magnetization at 0.00 μB/cell. The calculation puts the electronic total energy at -6.29 eV/atom. The formation energy comes out at -311 meV/atom.

a b c (Å): 4.993 4.993 7.625
angles (deg): 90.00 90.00 120.00
Atoms (fractional coordinates):
Ge: 0.000 0.000 0.337
Ge: 0.667 0.333 0.000
Co: 0.000 0.500 0.750
Mg: 0.000 0.000 0.000
Co: 0.500 0.000 0.750
Ge: 0.667 0.333 0.500
Ge: 0.333 0.667 0.000
Co: 0.000 0.500 0.250
Co: 0.500 0.000 0.250
Co: 0.500 0.500 0.250
Ge: 0.333 0.667 0.500
Co: 0.500 0.500 0.750
Ge: 0.000 0.000 0.663

***

18.
Density functional theory data (PBEsol) for a geometry-optimized MoPtPb structure.

Calculated values
The calculation puts the spin magnetization at 0.00 μB/cell. The calculation puts the electronic total energy at -7.21 eV/atom. The formation energy comes out at 368 meV/atom.

a b c (Å): 3.012 3.012 6.980
angles (deg): 90.00 90.00 120.00
Atoms (fractional coordinates):
Mo: 0.000 0.000 0.023
Pb: 0.333 0.667 0.668
Pt: 0.667 0.333 0.309

***

19.
Density functional theory data (PBEsol) for a geometry-optimized CaCoSi4O10 structure.

Calculated values
The calculation puts the spin magnetization at 4.00 μB/cell. The calculation puts the electronic total energy at -7.91 eV/atom. The formation energy (no corrections) is -2572 meV per atom.

a b c (Å): 7.239 7.239 15.242
angles (deg): 90.00 90.00 90.00
Site moments in Bohr magnetons follow the coordinates.
Atoms (fractional coordinates):
O: 0.041 0.758 0.624  0.00
O: 0.459 0.742 0.376  0.00
Si: 0.818 0.748 0.647  0.00
O: 0.041 0.242 0.124  0.00
O: 0.758 0.959 0.376  0.00
Si: 0.748 0.182 0.353  0.00
Co: 0.500 0.000 0.082  0.96
O: 0.596 0.762 0.082  0.01
O: 0.596 0.238 0.582  0.01
Ca: 0.000 0.000 0.000  0.00
Si: 0.752 0.318 0.647  0.00
O: 0.762 0.404 0.918  0.01
O: 0.541 0.258 0.376  0.00
Ca: 0.500 0.500 0.000  0.00
O: 0.287 0.287 0.250  0.00
Si: 0.318 0.752 0.853  0.00
O: 0.262 0.904 0.082  0.01
Si: 0.752 0.682 0.147  0.00
O: 0.904 0.262 0.418  0.01
Si: 0.182 0.748 0.147  0.00
O: 0.738 0.096 0.082  0.01
O: 0.404 0.238 0.082  0.01
O: 0.242 0.959 0.876  0.00
O: 0.758 0.041 0.876  0.00
O: 0.213 0.213 0.750  0.00
O: 0.787 0.787 0.750  0.00
Si: 0.252 0.818 0.353  0.00
O: 0.541 0.742 0.876  0.00
Si: 0.682 0.752 0.353  0.00
O: 0.742 0.541 0.624  0.00
O: 0.096 0.262 0.918  0.01
Co: 0.500 0.000 0.582  0.96
Co: 0.000 0.500 0.918  0.96
Si: 0.818 0.252 0.147  0.00
O: 0.742 0.459 0.124  0.00
O: 0.258 0.459 0.624  0.00
O: 0.238 0.404 0.418  0.01
O: 0.404 0.762 0.582  0.01
Si: 0.748 0.818 0.853  0.00
O: 0.459 0.258 0.876  0.00
O: 0.213 0.787 0.250  0.00
Si: 0.248 0.318 0.147  0.00
O: 0.959 0.758 0.124  0.00
Si: 0.682 0.248 0.853  0.00
O: 0.787 0.213 0.250  0.00
Ca: 0.000 0.000 0.500  0.00
O: 0.238 0.596 0.918  0.01
O: 0.262 0.096 0.582  0.01
O: 0.242 0.041 0.376  0.00
O: 0.738 0.904 0.582  0.01
O: 0.762 0.596 0.418  0.01
Co: 0.000 0.500 0.418  0.96
O: 0.096 0.738 0.418  0.01
O: 0.904 0.738 0.918  0.01
O: 0.713 0.713 0.250  0.00
Si: 0.318 0.248 0.353  0.00
O: 0.287 0.713 0.750  0.00
Si: 0.252 0.182 0.853  0.00
Si: 0.182 0.252 0.647  0.00
Ca: 0.500 0.500 0.500  0.00
O: 0.713 0.287 0.750  0.00
O: 0.959 0.242 0.624  0.00
Si: 0.248 0.682 0.647  0.00
O: 0.258 0.541 0.124  0.00

***

20.
Density functional theory data (PBEsol) for a geometry-optimized SrLaCd2 structure.

Calculated values
The calculation puts the spin magnetization at 0.13 μB/cell. The calculation puts the electronic total energy at -2.71 eV/atom. The formation energy comes out at -318 meV/atom.

a b c (Å): 3.910 3.910 7.841
angles (deg): 90.00 90.00 90.00
Site moments in Bohr magnetons follow the coordinates.
Atoms (fractional coordinates):
Cd: 0.000 0.000 0.235  0.00
Cd: 0.000 0.000 0.765  0.00
La: 0.500 0.500 0.000  0.05
Sr: 0.500 0.500 0.500  0.00

***

Calculated values (states/eV/f.u.) of N(E_F) for the records, taken in order: 4.8; 3.5; 2.3; 5.9; 3.9; 3.8; 0.0; 4.6; 4.0; 6.7; 3.4; 5.8; 3.8; 4.4; 8.3; 3.7; 7.3; 1.9; 6.6; 3.6.